Material: KHg3Pt
Method: DFT, PBE-GGA
State: relaxed

```
10
Lattice="6.726 0.000 0.000 -0.004 7.057 0.000 -3.340 -3.240 5.735" Properties=species:S:1:pos:R:3 pbc="T T T"
K 0.021 2.528 1.654
K 3.361 1.289 4.081
Hg -1.847 4.525 4.173
Hg 1.506 -0.718 1.568
Hg -0.005 0.080 4.166
Hg 3.387 3.737 1.569
Hg 1.875 4.535 4.167
Hg 5.228 -0.708 1.563
Pt 0.019 2.587 5.209
Pt 3.362 1.230 0.526
```

Magnetization ... 0.000 μB/atom
DOS(E_F) ... 2.99 states/eV/cell
VASP energy ... -1.77 eV/atom

Material: Th6AgSe5
Method: DFT, PBE-GGA
State: relaxed

```
12
Lattice="3.659 -6.344 0.000 3.659 6.344 0.000 -2.433 0.000 6.958" Properties=species:S:1:pos:R:3 pbc="T T T"
Th -0.018 2.136 5.202
Th 1.181 0.000 1.739
Th -0.018 -2.136 5.202
Th 4.903 2.136 1.756
Th 3.703 0.000 5.219
Th 4.903 -2.136 1.756
Ag 3.659 0.000 0.000
Se -1.216 0.000 3.479
Se 3.659 4.212 0.000
Se 2.442 2.069 3.479
Se 2.442 -2.069 3.479
Se 3.659 -4.212 0.000
```

Uncorrected formation energy ... -1.255 eV per atom
Magnetization ... 0.000 μB/atom
DOS(E_F) ... 10.53 states/eV/cell

Material: Pr2SmHo4Er
Method: DFT, PBE-GGA
State: relaxed

```
8
Lattice="5.070 0.000 0.000 0.000 5.094 0.000 0.000 0.000 10.064" Properties=species:S:1:pos:R:3 pbc="T T T"
Pr 0.000 0.000 0.000
Pr 2.535 2.547 5.032
Sm 0.000 0.000 5.032
Ho 0.000 2.547 2.495
Ho 0.000 2.547 7.569
Ho 2.535 0.000 2.501
Ho 2.535 0.000 7.563
Er 2.535 2.547 0.000
```

Magnetization ... 0.000 μB/atom
DOS(E_F) ... 11.28 states/eV/cell
VASP energy ... -4.62 eV/atom

Material: Ba2CaMg
Method: DFT, PBE-GGA
State: relaxed

```
4
Lattice="4.374 0.000 0.000 0.000 4.390 0.000 0.000 0.000 9.857" Properties=species:S:1:pos:R:3 pbc="T T T"
Ba 0.000 0.000 2.112
Ba 0.000 0.000 7.745
Ca 2.187 2.195 4.929
Mg 2.187 2.195 0.000
```

Magnetization ... 0.000 μB/atom
DOS(E_F) ... 4.51 states/eV/cell
VASP energy ... -1.87 eV/atom